[1]
Computed, not measured: a relaxed structure of MgSn2 at the GGA-PBEsol level of DFT.

abc: 3.4167 5.1339 8.6082
angles: 90.00 101.45 90.00
Fractional coordinates of all 6 atoms:
Sn (0.4454, 0.5000, 0.8907)
Sn (0.0013, 0.0000, 0.0026)
Sn (0.3274, 0.0000, 0.6547)
Sn (0.6648, 0.0000, 0.3295)
Mg (0.7812, 0.5000, 0.5624)
Mg (0.1133, 0.5000, 0.2267)

## Properties
- Total magnetization: 0.0000 μB/atom
- Electronic total energy: -3.463 eV per atom

[2]
Computed, not measured: a relaxed structure of MgSn3 at the GGA-PBEsol level of DFT.

abc: 3.4301 5.3711 5.4151
angles: 90.00 90.00 90.00
Fractional coordinates of all 4 atoms:
Sn (0.0000, 0.9943, 0.0000)
Sn (0.5000, 0.4916, 0.0000)
Sn (0.5000, 0.8398, 0.5000)
Mg (0.0000, 0.3410, 0.5000)

## Properties
- Total magnetization: 0.0000 μB/atom
- Electronic total energy: -3.662 eV per atom

[3]
Computed, not measured: a relaxed structure of MgSn3 at the GGA-PBEsol level of DFT.

abc: 3.3674 3.3674 10.2138
angles: 90.00 90.00 120.00
Fractional coordinates of all 4 atoms:
Sn (0.3333, 0.6667, 0.7622)
Sn (0.0000, 0.0000, 0.5000)
Sn (0.3333, 0.6667, 0.2378)
Mg (0.0000, 0.0000, 0.0000)

## Properties
- Total magnetization: 0.0000 μB/atom
- Electronic total energy: -3.654 eV per atom

[4]
Computed, not measured: a relaxed structure of MgSn at the GGA-PBEsol level of DFT.

abc: 3.2360 5.8192 8.6015
angles: 112.55 90.00 106.14
Fractional coordinates of all 6 atoms:
Sn (0.6971, 0.3943, 0.3275)
Sn (0.7464, 0.4929, 0.9506)
Sn (0.9973, 0.9945, 0.6168)
Mg (0.0281, 0.0562, 0.0008)
Mg (0.2810, 0.5620, 0.6646)
Mg (0.4168, 0.8336, 0.2730)

## Properties
- Total magnetization: 0.0000 μB/atom
- Electronic total energy: -3.101 eV per atom